KCd4Hg6 | PBE | relaxed

- N(E_F) (states/eV/cell) = 3.67
- magnetization (μB/atom) = 0.00
- energy (eV/atom) = -0.655
- ΔH_f (0 K) (eV/atom) = -0.06

Cell lengths 7.496, 7.058, 8.711 Å; angles 60.01, 53.09, 83.39 degrees
Sites, in units of the cell vectors:
K 0.057 0.928 0.970
Cd 0.486 0.088 0.320
Cd 0.531 0.634 0.063
Cd 0.200 0.337 0.139
Cd 0.584 0.707 0.652
Hg 0.669 0.213 0.489
Hg 0.015 0.528 0.463
Hg 0.429 0.585 0.467
Hg 0.962 0.444 0.936
Hg 0.987 0.906 0.587
Hg 0.580 0.128 0.915